Arrangement i

# AlSnPd6, relaxed, DFT GGA-PBE
# Size of the total moment, μB/f.u.: 0.0
# Density of states at the Fermi level, states/eV/cell: 5.2
# Space group: P4/mmm, No. 123
data_AlSnPd6
_chemical_formula_sum 'Al1 Sn1 Pd6'
_space_group_name_H-M_alt 'P 1'
_space_group_IT_number 1
_space_group_name_Hall 'P 1'
_cell_length_a 3.981
_cell_length_b 3.981
_cell_length_c 7.932
_cell_angle_alpha 90.00
_cell_angle_beta 90.00
_cell_angle_gamma 90.00
loop_
_atom_site_label
_atom_site_type_symbol
_atom_site_fract_x
_atom_site_fract_y
_atom_site_fract_z
Al1 Al 0.000 0.000 0.000
Sn1 Sn 0.000 0.000 0.500
Pd1 Pd 0.000 0.500 0.240
Pd2 Pd 0.000 0.500 0.760
Pd3 Pd 0.500 0.000 0.240
Pd4 Pd 0.500 0.000 0.760
Pd5 Pd 0.500 0.500 0.000
Pd6 Pd 0.500 0.500 0.500

---

Arrangement ii

# AlSnPd6, relaxed, DFT GGA-PBE
# Size of the total moment, μB/f.u.: 0.0
# Density of states at the Fermi level, states/eV/cell: 7.8
# Space group: C2/m, No. 12
data_AlSnPd6
_chemical_formula_sum 'Al2 Sn2 Pd12'
_space_group_name_H-M_alt 'P 1'
_space_group_IT_number 1
_space_group_name_Hall 'P 1'
_cell_length_a 7.581
_cell_length_b 5.465
_cell_length_c 7.330
_cell_angle_alpha 90.00
_cell_angle_beta 111.36
_cell_angle_gamma 90.00
loop_
_atom_site_label
_atom_site_type_symbol
_atom_site_fract_x
_atom_site_fract_y
_atom_site_fract_z
Al1 Al 0.000 0.000 0.000
Al2 Al 0.500 0.500 0.000
Sn1 Sn 0.000 0.500 0.500
Sn2 Sn 0.500 0.000 0.500
Pd1 Pd 0.156 0.500 0.945
Pd2 Pd 0.184 0.256 0.293
Pd3 Pd 0.184 0.744 0.293
Pd4 Pd 0.316 0.244 0.707
Pd5 Pd 0.316 0.756 0.707
Pd6 Pd 0.344 0.000 0.055
Pd7 Pd 0.656 0.000 0.945
Pd8 Pd 0.684 0.244 0.293
Pd9 Pd 0.684 0.756 0.293
Pd10 Pd 0.816 0.256 0.707
Pd11 Pd 0.816 0.744 0.707
Pd12 Pd 0.844 0.500 0.055

---

Energies relative to the most stable structure are arrangement i 0.000; arrangement ii 0.187, reported in eV/atom.

---

Arrangement i

# AlSnPd3, relaxed, DFT GGA-PBE
# Size of the total moment, μB/f.u.: 0.0
# Density of states at the Fermi level, states/eV/cell: 3.2
# Space group: Pm-3m, No. 221
data_AlSnPd3
_chemical_formula_sum 'Al1 Sn1 Pd3'
_space_group_name_H-M_alt 'P 1'
_space_group_IT_number 1
_space_group_name_Hall 'P 1'
_cell_length_a 4.915
_cell_length_b 4.915
_cell_length_c 4.915
_cell_angle_alpha 90.00
_cell_angle_beta 90.00
_cell_angle_gamma 90.00
loop_
_atom_site_label
_atom_site_type_symbol
_atom_site_fract_x
_atom_site_fract_y
_atom_site_fract_z
Al1 Al 0.000 0.000 0.000
Sn1 Sn 0.500 0.500 0.500
Pd1 Pd 0.000 0.500 0.500
Pd2 Pd 0.500 0.000 0.500
Pd3 Pd 0.500 0.500 0.000

---

Arrangement ii

# AlSnPd3, relaxed, DFT GGA-PBE
# Size of the total moment, μB/f.u.: 0.0
# Density of states at the Fermi level, states/eV/cell: 2.3
# Space group: Pm-3m, No. 221
data_AlSnPd3
_chemical_formula_sum 'Al1 Sn1 Pd3'
_space_group_name_H-M_alt 'P 1'
_space_group_IT_number 1
_space_group_name_Hall 'P 1'
_cell_length_a 4.609
_cell_length_b 4.609
_cell_length_c 4.609
_cell_angle_alpha 90.00
_cell_angle_beta 90.00
_cell_angle_gamma 90.00
loop_
_atom_site_label
_atom_site_type_symbol
_atom_site_fract_x
_atom_site_fract_y
_atom_site_fract_z
Al1 Al 0.000 0.000 0.000
Sn1 Sn 0.500 0.500 0.500
Pd1 Pd 0.000 0.000 0.500
Pd2 Pd 0.000 0.500 0.000
Pd3 Pd 0.500 0.000 0.000

---

Arrangement iii

# AlSnPd3, relaxed, DFT GGA-PBE
# Size of the total moment, μB/f.u.: 0.0
# Density of states at the Fermi level, states/eV/cell: 3.3
# Space group: Pmmn, No. 59
data_AlSnPd3
_chemical_formula_sum 'Al2 Sn2 Pd6'
_space_group_name_H-M_alt 'P 1'
_space_group_IT_number 1
_space_group_name_Hall 'P 1'
_cell_length_a 3.192
_cell_length_b 7.497
_cell_length_c 7.308
_cell_angle_alpha 90.00
_cell_angle_beta 90.00
_cell_angle_gamma 90.00
loop_
_atom_site_label
_atom_site_type_symbol
_atom_site_fract_x
_atom_site_fract_y
_atom_site_fract_z
Al1 Al 0.250 0.250 0.015
Al2 Al 0.750 0.750 0.985
Sn1 Sn 0.250 0.250 0.587
Sn2 Sn 0.750 0.750 0.413
Pd1 Pd 0.250 0.553 0.171
Pd2 Pd 0.250 0.750 0.711
Pd3 Pd 0.250 0.947 0.171
Pd4 Pd 0.750 0.053 0.829
Pd5 Pd 0.750 0.250 0.289
Pd6 Pd 0.750 0.447 0.829

---

Energies relative to the most stable structure are arrangement i 1.091; arrangement ii 0.503; arrangement iii 0.000, reported in eV/atom.

---

Arrangement i

# Al2SnPd8, relaxed, DFT GGA-PBE
# Size of the total moment, μB/f.u.: 0.0
# Density of states at the Fermi level, states/eV/cell: 2.0
# Space group: Immm, No. 71
data_Al2SnPd8
_chemical_formula_sum 'Al2 Sn1 Pd8'
_space_group_name_H-M_alt 'P 1'
_space_group_IT_number 1
_space_group_name_Hall 'P 1'
_cell_length_a 7.327
_cell_length_b 7.327
_cell_length_c 7.327
_cell_angle_alpha 147.52
_cell_angle_beta 123.23
_cell_angle_gamma 66.95
loop_
_atom_site_label
_atom_site_type_symbol
_atom_site_fract_x
_atom_site_fract_y
_atom_site_fract_z
Al1 Al 0.188 0.188 0.000
Al2 Al 0.812 0.812 0.000
Sn1 Sn 0.500 0.500 0.000
Pd1 Pd 0.057 0.337 0.720
Pd2 Pd 0.195 0.000 0.195
Pd3 Pd 0.348 0.848 0.500
Pd4 Pd 0.383 0.663 0.720
Pd5 Pd 0.617 0.337 0.280
Pd6 Pd 0.652 0.152 0.500
Pd7 Pd 0.805 0.000 0.805
Pd8 Pd 0.943 0.663 0.280

---

Arrangement ii

# Al2SnPd8, relaxed, DFT GGA-PBE
# Size of the total moment, μB/f.u.: 0.0
# Density of states at the Fermi level, states/eV/cell: 3.4
# Space group: C2/m, No. 12
data_Al2SnPd8
_chemical_formula_sum 'Al2 Sn1 Pd8'
_space_group_name_H-M_alt 'P 1'
_space_group_IT_number 1
_space_group_name_Hall 'P 1'
_cell_length_a 7.309
_cell_length_b 7.309
_cell_length_c 6.323
_cell_angle_alpha 107.68
_cell_angle_beta 107.68
_cell_angle_gamma 32.41
loop_
_atom_site_label
_atom_site_type_symbol
_atom_site_fract_x
_atom_site_fract_y
_atom_site_fract_z
Al1 Al 0.210 0.210 0.166
Al2 Al 0.790 0.790 0.834
Sn1 Sn 0.500 0.500 0.500
Pd1 Pd 0.038 0.038 0.236
Pd2 Pd 0.166 0.166 0.743
Pd3 Pd 0.322 0.322 0.564
Pd4 Pd 0.397 0.397 0.025
Pd5 Pd 0.603 0.603 0.975
Pd6 Pd 0.678 0.678 0.436
Pd7 Pd 0.834 0.834 0.257
Pd8 Pd 0.962 0.962 0.764

---

Energies relative to the most stable structure are arrangement i 0.010; arrangement ii 0.000, reported in eV/atom.

---

Arrangement i

# Sr3Al8Pd3, relaxed, DFT GGA-PBE
# Size of the total moment, μB/f.u.: 0.0
# Density of states at the Fermi level, states/eV/cell: 4.7
# Space group: Immm, No. 71
data_Sr3Al8Pd3
_chemical_formula_sum 'Sr3 Al8 Pd3'
_space_group_name_H-M_alt 'P 1'
_space_group_IT_number 1
_space_group_name_Hall 'P 1'
_cell_length_a 8.564
_cell_length_b 8.564
_cell_length_c 8.564
_cell_angle_alpha 149.90
_cell_angle_beta 104.24
_cell_angle_gamma 83.62
loop_
_atom_site_label
_atom_site_type_symbol
_atom_site_fract_x
_atom_site_fract_y
_atom_site_fract_z
Sr1 Sr 0.000 0.000 0.000
Sr2 Sr 0.324 0.324 0.000
Sr3 Sr 0.676 0.676 0.000
Al1 Al 0.029 0.679 0.350
Al2 Al 0.175 0.889 0.285
Al3 Al 0.329 0.679 0.650
Al4 Al 0.396 0.111 0.285
Al5 Al 0.604 0.889 0.715
Al6 Al 0.671 0.321 0.350
Al7 Al 0.825 0.111 0.715
Al8 Al 0.971 0.321 0.650
Pd1 Pd 0.257 0.500 0.757
Pd2 Pd 0.500 0.000 0.500
Pd3 Pd 0.743 0.500 0.243

---

Arrangement ii

# Sr3Al8Pd3, relaxed, DFT GGA-PBE
# Size of the total moment, μB/f.u.: 0.0
# Density of states at the Fermi level, states/eV/cell: 4.3
# Space group: C2/m, No. 12
data_Sr3Al8Pd3
_chemical_formula_sum 'Sr3 Al8 Pd3'
_space_group_name_H-M_alt 'P 1'
_space_group_IT_number 1
_space_group_name_Hall 'P 1'
_cell_length_a 8.458
_cell_length_b 8.458
_cell_length_c 9.257
_cell_angle_alpha 122.18
_cell_angle_beta 122.18
_cell_angle_gamma 31.27
loop_
_atom_site_label
_atom_site_type_symbol
_atom_site_fract_x
_atom_site_fract_y
_atom_site_fract_z
Sr1 Sr 0.000 0.000 0.000
Sr2 Sr 0.287 0.287 0.297
Sr3 Sr 0.713 0.713 0.703
Al1 Al 0.131 0.131 0.422
Al2 Al 0.141 0.141 0.847
Al3 Al 0.346 0.346 0.717
Al4 Al 0.494 0.494 0.324
Al5 Al 0.506 0.506 0.676
Al6 Al 0.654 0.654 0.283
Al7 Al 0.859 0.859 0.153
Al8 Al 0.869 0.869 0.578
Pd1 Pd 0.000 0.000 0.500
Pd2 Pd 0.339 0.339 0.002
Pd3 Pd 0.661 0.661 0.998

---

Energies relative to the most stable structure are arrangement i 0.000; arrangement ii 0.010, reported in eV/atom.

---

Arrangement i

# Sr2Al2Pd, relaxed, DFT GGA-PBE
# Size of the total moment, μB/f.u.: 0.0
# Density of states at the Fermi level, states/eV/cell: 4.8
# Space group: C2/c, No. 15
data_Sr2Al2Pd
_chemical_formula_sum 'Sr4 Al4 Pd2'
_space_group_name_H-M_alt 'P 1'
_space_group_IT_number 1
_space_group_name_Hall 'P 1'
_cell_length_a 6.156
_cell_length_b 6.156
_cell_length_c 7.619
_cell_angle_alpha 99.27
_cell_angle_beta 99.27
_cell_angle_gamma 74.80
loop_
_atom_site_label
_atom_site_type_symbol
_atom_site_fract_x
_atom_site_fract_y
_atom_site_fract_z
Sr1 Sr 0.146 0.246 0.299
Sr2 Sr 0.246 0.146 0.799
Sr3 Sr 0.754 0.854 0.201
Sr4 Sr 0.854 0.754 0.701
Al1 Al 0.283 0.654 0.063
Al2 Al 0.346 0.717 0.437
Al3 Al 0.654 0.283 0.563
Al4 Al 0.717 0.346 0.937
Pd1 Pd 0.396 0.604 0.750
Pd2 Pd 0.604 0.396 0.250

---

Arrangement ii

# Sr2Al2Pd, relaxed, DFT GGA-PBE
# Size of the total moment, μB/f.u.: 0.0
# Density of states at the Fermi level, states/eV/cell: 8.9
# Space group: P4/mbm, No. 127
data_Sr2Al2Pd
_chemical_formula_sum 'Sr4 Al4 Pd2'
_space_group_name_H-M_alt 'P 1'
_space_group_IT_number 1
_space_group_name_Hall 'P 1'
_cell_length_a 7.092
_cell_length_b 7.092
_cell_length_c 5.214
_cell_angle_alpha 90.00
_cell_angle_beta 90.00
_cell_angle_gamma 90.00
loop_
_atom_site_label
_atom_site_type_symbol
_atom_site_fract_x
_atom_site_fract_y
_atom_site_fract_z
Sr1 Sr 0.178 0.322 0.000
Sr2 Sr 0.322 0.822 0.000
Sr3 Sr 0.678 0.178 0.000
Sr4 Sr 0.822 0.678 0.000
Al1 Al 0.135 0.635 0.500
Al2 Al 0.365 0.135 0.500
Al3 Al 0.635 0.865 0.500
Al4 Al 0.865 0.365 0.500
Pd1 Pd 0.000 0.000 0.500
Pd2 Pd 0.500 0.500 0.500

---

Energies relative to the most stable structure are arrangement i 0.000; arrangement ii 0.220, reported in eV/atom.